Record 1
LiHgCl2 | PBE | relaxed

Results
size of the total moment	0.0	μB/f.u.
polymorph energy (0 for the lowest one)	26	meV/atom
Fermi-level density of states	0.2348	states/eV/atom

Cell lengths 12.7154, 3.9460, 4.2116 Å; angles 90.00, 93.96, 90.00 degrees
With the nearest neighbours (Å) after each atom.
Space group Cm (No. 8)
Asymmetric unit:
Li 0.0000 0.0000 0.0000 [2 per cell]  3 Cl 2.33-2.46
Hg 0.3004 0.0000 0.3381 [2 per cell]  5 Cl 2.88-3.11
Cl 0.0426 0.5000 0.2757 [2 per cell]  2 Li 2.33
Cl 0.3108 0.5000 0.8358 [2 per cell]  1 Li 2.46


Record 2
K2IrRuPb | PBE | relaxed

Results
energy relative to the elements	6.72	eV/f.u.
size of the total moment	3.0	μB/f.u.
Fermi-level density of states	1.0639	states/eV/atom

Cell lengths 6.0606, 6.0606, 5.1649 Å; angles 90.00, 90.00, 90.00 degrees
With the nearest neighbours (Å) after each atom.
Space group P4/mmm (No. 123)
Asymmetric unit:
K 0.0000 0.5000 0.0000 [2 per cell]  2 Ir 3.03
Ir 0.0000 0.0000 0.0000 [1 per cell]  2 Pb 2.58
Ru 0.5000 0.5000 0.5000 [1 per cell]  8 K 3.98, 4 Pb 4.29
Pb 0.0000 0.0000 0.5000 [1 per cell]  2 Ir 2.58


Record 3
HOsPd2Au | PBE | relaxed

Results
DFT total energy	-5.284	eV per atom
size of the total moment	0.0	μB/f.u.
Fermi-level density of states	1.1992	states/eV/atom

Cell lengths 4.0614, 4.0614, 3.9441 Å; angles 90.00, 90.00, 90.00 degrees
With the nearest neighbours (Å) after each atom.
Space group P4/mmm (No. 123)
Asymmetric unit:
H 0.0000 0.0000 0.0000 [1 per cell]  2 Os 1.97, 4 Pd 2.03
Os 0.0000 0.0000 0.5000 [1 per cell]  2 H 1.97
Pd 0.0000 0.5000 0.0000 [2 per cell]  2 H 2.03
Au 0.5000 0.5000 0.5000 [1 per cell]  8 Pd 2.83, 4 Os 2.87